# 1
## Cs2VI4Br2 (PBE)

Data for a relaxed Cs2VI4Br2 crystal.

```
data_Cs2VI4Br2
_cell_length_a 8.041
_cell_length_b 8.041
_cell_length_c 6.872
_cell_angle_alpha 96.36
_cell_angle_beta 96.36
_cell_angle_gamma 60.85
_symmetry_space_group_name_H-M 'P 1'
_symmetry_Int_Tables_number 1
_symmetry_space_group_name_Hall 'P 1'
loop_
_atom_site_label
_atom_site_fract_x
_atom_site_fract_y
_atom_site_fract_z
Cs1 0.155 0.155 0.275
Cs2 0.845 0.845 0.725
V1 0.500 0.500 0.500
I1 0.166 0.646 0.259
I2 0.354 0.834 0.741
I3 0.646 0.166 0.259
I4 0.834 0.354 0.741
Br1 0.366 0.366 0.700
Br2 0.634 0.634 0.300
```

Summary:
- final energy (eV for the cell shown) = -29.40
- DOS at the Fermi energy (states/eV/atom) = 0.791
- SG = C2/m
- volume (A^3/atom) = 42.76
- raw formation energy (eV/atom) = -1.0028

# 2
## Cs2VI2Br4 (PBE)

Data for a relaxed Cs2VI2Br4 crystal.

```
data_Cs2VI2Br4
_cell_length_a 7.939
_cell_length_b 7.939
_cell_length_c 7.939
_cell_angle_alpha 119.09
_cell_angle_beta 119.09
_cell_angle_gamma 91.58
_symmetry_space_group_name_H-M 'P 1'
_symmetry_Int_Tables_number 1
_symmetry_space_group_name_Hall 'P 1'
loop_
_atom_site_label
_atom_site_fract_x
_atom_site_fract_y
_atom_site_fract_z
Cs1 0.250 0.750 0.500
Cs2 0.750 0.250 0.500
V1 0.000 0.000 0.000
I1 0.250 0.250 0.000
I2 0.750 0.750 0.000
Br1 0.219 0.219 0.439
Br2 0.219 0.781 0.000
Br3 0.781 0.219 0.000
Br4 0.781 0.781 0.561
```

Summary:
- final energy (eV for the cell shown) = -30.91
- DOS at the Fermi energy (states/eV/atom) = 0.792
- SG = I4/mmm
- volume (A^3/atom) = 39.84
- raw formation energy (eV/atom) = -1.1436

# 3
## CsVI2Br (PBE)

Data for a relaxed CsVI2Br crystal.

```
data_CsVI2Br
_cell_length_a 5.810
_cell_length_b 5.810
_cell_length_c 5.378
_cell_angle_alpha 90.00
_cell_angle_beta 90.00
_cell_angle_gamma 90.00
_symmetry_space_group_name_H-M 'P 1'
_symmetry_Int_Tables_number 1
_symmetry_space_group_name_Hall 'P 1'
loop_
_atom_site_label
_atom_site_fract_x
_atom_site_fract_y
_atom_site_fract_z
Cs1 0.000 0.000 0.000
V1 0.500 0.500 0.500
I1 0.000 0.500 0.500
I2 0.500 0.000 0.500
Br1 0.500 0.500 0.000
```

Summary:
- final energy (eV for the cell shown) = -19.20
- DOS at the Fermi energy (states/eV/atom) = 0.237
- SG = P4/mmm
- volume (A^3/atom) = 36.31
- raw formation energy (eV/atom) = -0.8908

# 4
## CsYIBr2 (PBE)

Data for a relaxed CsYIBr2 crystal.

```
data_CsYIBr2
_cell_length_a 5.698
_cell_length_b 5.698
_cell_length_c 6.097
_cell_angle_alpha 90.00
_cell_angle_beta 90.00
_cell_angle_gamma 90.00
_symmetry_space_group_name_H-M 'P 1'
_symmetry_Int_Tables_number 1
_symmetry_space_group_name_Hall 'P 1'
loop_
_atom_site_label
_atom_site_fract_x
_atom_site_fract_y
_atom_site_fract_z
Cs1 0.000 0.000 0.000
Y1 0.500 0.500 0.500
I1 0.500 0.500 0.000
Br1 0.000 0.500 0.500
Br2 0.500 0.000 0.500
```

Summary:
- final energy (eV for the cell shown) = -19.72
- DOS at the Fermi energy (states/eV/atom) = 0.646
- SG = P4/mmm
- volume (A^3/atom) = 39.59
- raw formation energy (eV/atom) = -1.5011

# 5
## CsYI2Br (PBE)

Data for a relaxed CsYI2Br crystal.

```
data_CsYI2Br
_cell_length_a 6.115
_cell_length_b 6.115
_cell_length_c 5.672
_cell_angle_alpha 90.00
_cell_angle_beta 90.00
_cell_angle_gamma 90.00
_symmetry_space_group_name_H-M 'P 1'
_symmetry_Int_Tables_number 1
_symmetry_space_group_name_Hall 'P 1'
loop_
_atom_site_label
_atom_site_fract_x
_atom_site_fract_y
_atom_site_fract_z
Cs1 0.000 0.000 0.000
Y1 0.500 0.500 0.500
I1 0.000 0.500 0.500
I2 0.500 0.000 0.500
Br1 0.500 0.500 0.000
```

Summary:
- final energy (eV for the cell shown) = -19.02
- DOS at the Fermi energy (states/eV/atom) = 0.601
- SG = P4/mmm
- volume (A^3/atom) = 42.42
- raw formation energy (eV/atom) = -1.3856

# 6
## CsZnI2Br (PBE)

Data for a relaxed CsZnI2Br crystal.

```
data_CsZnI2Br
_cell_length_a 5.807
_cell_length_b 5.807
_cell_length_c 5.427
_cell_angle_alpha 90.00
_cell_angle_beta 90.00
_cell_angle_gamma 90.00
_symmetry_space_group_name_H-M 'P 1'
_symmetry_Int_Tables_number 1
_symmetry_space_group_name_Hall 'P 1'
loop_
_atom_site_label
_atom_site_fract_x
_atom_site_fract_y
_atom_site_fract_z
Cs1 0.000 0.000 0.000
Zn1 0.500 0.500 0.500
I1 0.000 0.500 0.500
I2 0.500 0.000 0.500
Br1 0.500 0.500 0.000
```

Summary:
- final energy (eV for the cell shown) = -11.59
- DOS at the Fermi energy (states/eV/atom) = 0.263
- SG = P4/mmm
- volume (A^3/atom) = 36.60
- raw formation energy (eV/atom) = -0.9379

# 7
## CsZnIBr2 (PBE)

Data for a relaxed CsZnIBr2 crystal.

```
data_CsZnIBr2
_cell_length_a 5.451
_cell_length_b 5.451
_cell_length_c 5.704
_cell_angle_alpha 90.00
_cell_angle_beta 90.00
_cell_angle_gamma 90.00
_symmetry_space_group_name_H-M 'P 1'
_symmetry_Int_Tables_number 1
_symmetry_space_group_name_Hall 'P 1'
loop_
_atom_site_label
_atom_site_fract_x
_atom_site_fract_y
_atom_site_fract_z
Cs1 0.000 0.000 0.000
Zn1 0.500 0.500 0.500
I1 0.500 0.500 0.000
Br1 0.000 0.500 0.500
Br2 0.500 0.000 0.500
```

Summary:
- final energy (eV for the cell shown) = -12.22
- DOS at the Fermi energy (states/eV/atom) = 0.301
- SG = P4/mmm
- volume (A^3/atom) = 33.89
- raw formation energy (eV/atom) = -1.0393

# 8
## Cs2ZnI6Br (PBE)

Data for a relaxed Cs2ZnI6Br crystal.

```
data_Cs2ZnI6Br
_cell_length_a 8.685
_cell_length_b 8.685
_cell_length_c 8.685
_cell_angle_alpha 119.41
_cell_angle_beta 119.41
_cell_angle_gamma 91.02
_symmetry_space_group_name_H-M 'P 1'
_symmetry_Int_Tables_number 1
_symmetry_space_group_name_Hall 'P 1'
loop_
_atom_site_label
_atom_site_fract_x
_atom_site_fract_y
_atom_site_fract_z
Cs1 0.250 0.750 0.500
Cs2 0.750 0.250 0.500
Zn1 0.000 0.000 0.000
I1 0.218 0.218 0.437
I2 0.218 0.782 0.000
I3 0.272 0.272 0.000
I4 0.728 0.728 0.000
I5 0.782 0.218 0.000
I6 0.782 0.782 0.563
Br1 0.500 0.500 0.000
```

Summary:
- final energy (eV for the cell shown) = -20.80
- DOS at the Fermi energy (states/eV/atom) = 0.751
- SG = I4/mmm
- volume (A^3/atom) = 46.73
- raw formation energy (eV/atom) = -0.6848

# 9
## Cs2ZnIBr6 (PBE)

Data for a relaxed Cs2ZnIBr6 crystal.

```
data_Cs2ZnIBr6
_cell_length_a 8.223
_cell_length_b 8.223
_cell_length_c 8.223
_cell_angle_alpha 119.15
_cell_angle_beta 119.15
_cell_angle_gamma 91.48
_symmetry_space_group_name_H-M 'P 1'
_symmetry_Int_Tables_number 1
_symmetry_space_group_name_Hall 'P 1'
loop_
_atom_site_label
_atom_site_fract_x
_atom_site_fract_y
_atom_site_fract_z
Cs1 0.250 0.750 0.500
Cs2 0.750 0.250 0.500
Zn1 0.000 0.000 0.000
I1 0.500 0.500 0.000
Br1 0.213 0.213 0.425
Br2 0.213 0.787 0.000
Br3 0.266 0.266 0.000
Br4 0.734 0.734 0.000
Br5 0.787 0.213 0.000
Br6 0.787 0.787 0.575
```

Summary:
- final energy (eV for the cell shown) = -23.86
- DOS at the Fermi energy (states/eV/atom) = 0.671
- SG = I4/mmm
- volume (A^3/atom) = 39.81
- raw formation energy (eV/atom) = -0.9287

# 10
## Cs2ZrI5Br (PBE)

Data for a relaxed Cs2ZrI5Br crystal.

```
data_Cs2ZrI5Br
_cell_length_a 8.386
_cell_length_b 8.386
_cell_length_c 8.386
_cell_angle_alpha 119.49
_cell_angle_beta 119.49
_cell_angle_gamma 90.89
_symmetry_space_group_name_H-M 'P 1'
_symmetry_Int_Tables_number 1
_symmetry_space_group_name_Hall 'P 1'
loop_
_atom_site_label
_atom_site_fract_x
_atom_site_fract_y
_atom_site_fract_z
Cs1 0.000 0.500 0.500
Cs2 0.500 0.000 0.500
Zr1 0.246 0.246 0.000
I1 0.008 0.008 0.516
I2 0.008 0.492 0.000
I3 0.492 0.008 0.000
I4 0.492 0.492 0.000
I5 0.492 0.492 0.484
Br1 0.023 0.023 0.000
```

Summary:
- final energy (eV for the cell shown) = -31.52
- DOS at the Fermi energy (states/eV/atom) = 0.000
- SG = I4mm
- volume (A^3/atom) = 46.68
- raw formation energy (eV/atom) = -1.3160